(1)
This record from Alexandria describes Zn2SbPb after structural relaxation. The functional is PBE-GGA.

Results
E, eV/atom: -2.4172
ρ, g/cm3: 8.03
Formation energy from raw total energies, eV per atom: 0.18
E above lowest polymorph, eV per atom: 0.080
Fermi-level density of states, states/eV/cell: 1.8

Cell: 4.188 5.368 4.229 Å, 90.00 90.00 90.00°
Atoms (fractional coordinates):
Pb  0.500  0.000  0.500
Sb  0.000  0.500  0.500
Zn  0.000  0.000  0.000
Zn  0.500  0.500  0.000


(2)
This record from Alexandria describes Zn2SbPb after structural relaxation. The functional is PBE-GGA.

Results
E, eV/atom: -2.4261
ρ, g/cm3: 7.76
Formation energy from raw total energies, eV per atom: 0.17
E above lowest polymorph, eV per atom: 0.071
Fermi-level density of states, states/eV/cell: 4.3

Cell: 7.791 7.791 6.392 Å, 52.45 52.45 90.00°
Atoms (fractional coordinates):
Pb  0.000  0.000  0.000
Pb  0.750  0.250  0.500
Sb  0.500  0.500  0.000
Sb  0.250  0.750  0.500
Zn  0.601  0.125  0.250
Zn  0.149  0.625  0.250
Zn  0.375  0.399  0.750
Zn  0.875  0.851  0.750